Version one
Computed, not measured: a relaxed Co3SeCl crystal at the GGA-PBE level of DFT.

Cell lengths 4.5389, 4.5389, 4.5389 Å; angles 90.00, 90.00, 90.00 degrees
Last column: nearest neighbours and their distance in Å.
Element x y z (fractional)
Co 0.0000 0.0000 0.5000  2 Se 2.27
Co 0.0000 0.5000 0.0000  2 Se 2.27
Co 0.5000 0.0000 0.0000  2 Se 2.27
Se 0.0000 0.0000 0.0000  6 Co 2.27
Cl 0.5000 0.5000 0.5000  12 Co 3.21

Version two
Computed, not measured: a relaxed Co3SeCl crystal at the GGA-PBE level of DFT.

Cell lengths 4.2565, 4.2565, 4.2565 Å; angles 90.00, 90.00, 90.00 degrees
Last column: nearest neighbours and their distance in Å.
Element x y z (fractional)
Co 0.0000 0.0000 0.5000  2 Cl 2.13
Co 0.0000 0.5000 0.0000  2 Cl 2.13
Co 0.5000 0.0000 0.0000  2 Cl 2.13
Se 0.5000 0.5000 0.5000  12 Co 3.01
Cl 0.0000 0.0000 0.0000  6 Co 2.13

Which of them is the least stable? Correct choice: version two.

Version one
Computed, not measured: a relaxed CoSi2Cl crystal at the GGA-PBE level of DFT.

Cell lengths 3.0563, 3.0563, 7.2340 Å; angles 90.00, 90.00, 90.00 degrees
Last column: nearest neighbours and their distance in Å.
Element x y z (fractional)
Co 0.0000 0.0000 0.0000  5 Si 2.35-2.41
Si 0.0000 0.0000 0.3329  1 Co 2.41, 4 Si 2.63
Si 0.5000 0.5000 0.1266  4 Co 2.35, 1 Cl 2.55, 4 Si 2.63
Cl 0.5000 0.5000 0.7741  1 Si 2.55, 4 Co 2.71

Version two
Computed, not measured: a relaxed CoSi2Cl crystal at the GGA-PBE level of DFT.

Cell lengths 4.7539, 2.9415, 4.9182 Å; angles 90.00, 117.58, 90.00 degrees
Last column: nearest neighbours and their distance in Å.
Element x y z (fractional)
Co 0.0000 0.0000 0.0000  4 Si 2.25-2.43, 2 Cl 2.39
Si 0.1677 0.5000 0.3907  2 Co 2.25, 1 Cl 2.32
Si 0.4584 0.0000 0.9063  2 Co 2.40-2.43
Cl 0.7908 0.5000 0.5674  1 Si 2.32, 2 Co 2.39

Which of them is the least stable? Correct choice: version one.

Version one
Computed, not measured: a relaxed CoSiCl2 crystal at the GGA-PBE level of DFT.

Cell lengths 4.6298, 4.6298, 3.1224 Å; angles 90.00, 90.00, 90.08 degrees
Last column: nearest neighbours and their distance in Å.
Element x y z (fractional)
Co 0.0000 0.0000 0.0000  8 Cl 2.79, 2 Co 3.12
Si 0.5000 0.5000 0.0000  8 Cl 2.79, 2 Si 3.12
Cl 0.0000 0.5000 0.5000  4 Co 2.79, 4 Si 2.79, 2 Cl 3.12
Cl 0.5000 0.0000 0.5000  4 Co 2.79, 4 Si 2.79, 2 Cl 3.12

Version two
Computed, not measured: a relaxed CoSiCl2 crystal at the GGA-PBE level of DFT.

Cell lengths 2.9859, 2.9859, 8.7668 Å; angles 90.00, 90.00, 90.00 degrees
Last column: nearest neighbours and their distance in Å.
Element x y z (fractional)
Co 0.0000 0.0000 0.0000  8 Cl 2.59
Si 0.0000 0.0000 0.5000  4 Si 2.99
Cl 0.5000 0.5000 0.1720  4 Co 2.59
Cl 0.5000 0.5000 0.8280  4 Co 2.59

Which of them is the least stable? Correct choice: version one.

Version one
Computed, not measured: a relaxed CoSiCl2 crystal at the GGA-PBE level of DFT.

Cell lengths 7.7140, 7.7140, 7.7140 Å; angles 155.66, 152.64, 36.95 degrees
Last column: nearest neighbours and their distance in Å.
Element x y z (fractional)
Co 0.0000 0.0000 0.0000  4 Si 2.44, 4 Cl 2.52
Si 0.5000 0.5000 0.0000  4 Co 2.44, 4 Cl 2.66
Cl 0.1319 0.6319 0.5000  2 Co 2.52, 2 Si 2.66
Cl 0.8681 0.3681 0.5000  2 Co 2.52, 2 Si 2.66

Version two
Computed, not measured: a relaxed CoSiCl2 crystal at the GGA-PBE level of DFT.

Cell lengths 4.5660, 4.5660, 4.5660 Å; angles 60.00, 60.00, 60.00 degrees
Last column: nearest neighbours and their distance in Å.
Element x y z (fractional)
Co 0.0000 0.0000 0.0000  8 Cl 2.80
Si 0.5000 0.5000 0.5000  8 Cl 2.80
Cl 0.2500 0.2500 0.2500  4 Co 2.80, 4 Si 2.80
Cl 0.7500 0.7500 0.7500  4 Co 2.80, 4 Si 2.80

Which of them is the least stable? Correct choice: version two.

Version one
Computed, not measured: a relaxed Co2Si2Cl crystal at the GGA-PBE level of DFT.

Cell lengths 6.8219, 6.8219, 2.7448 Å; angles 90.00, 90.00, 90.00 degrees
Last column: nearest neighbours and their distance in Å.
Element x y z (fractional)
Co 0.1438 0.3562 0.0000  6 Si 2.39-2.48, 2 Cl 2.62
Co 0.3562 0.8562 0.0000  6 Si 2.39-2.48, 2 Cl 2.62
Co 0.6438 0.1438 0.0000  6 Si 2.39-2.48, 2 Cl 2.62
Co 0.8562 0.6438 0.0000  6 Si 2.39-2.48, 2 Cl 2.62
Si 0.1427 0.6427 0.5000  6 Co 2.39-2.48
Si 0.3573 0.1427 0.5000  6 Co 2.39-2.48
Si 0.6427 0.8573 0.5000  6 Co 2.39-2.48
Si 0.8573 0.3573 0.5000  6 Co 2.39-2.48
Cl 0.0000 0.0000 0.0000  4 Co 2.62, 2 Cl 2.74
Cl 0.5000 0.5000 0.0000  4 Co 2.62, 2 Cl 2.74

Version two
Computed, not measured: a relaxed Co2Si2Cl crystal at the GGA-PBE level of DFT.

Cell lengths 6.6219, 6.6219, 6.6219 Å; angles 149.36, 149.36, 43.88 degrees
Last column: nearest neighbours and their distance in Å.
Element x y z (fractional)
Co 0.1336 0.1336 0.0000  4 Si 2.26
Co 0.8664 0.8664 0.0000  4 Si 2.26
Si 0.2500 0.7500 0.5000  4 Co 2.26, 4 Si 2.47
Si 0.7500 0.2500 0.5000  4 Co 2.26, 4 Si 2.47
Cl 0.5000 0.5000 0.0000  8 Co 2.97

Which of them is the least stable? Correct choice: version one.

Version one
Computed, not measured: a relaxed Sm4CoCl5 crystal at the GGA-PBE level of DFT.

Cell lengths 9.5767, 9.5767, 8.3453 Å; angles 90.25, 90.25, 23.61 degrees
Last column: nearest neighbours and their distance in Å.
Element x y z (fractional)
Sm 0.0001 0.0001 0.2207  2 Co 2.69, 2 Cl 2.95
Sm 0.9999 0.9999 0.7793  2 Co 2.69, 2 Cl 2.95
Sm 0.3565 0.3565 0.9987  1 Co 2.69, 4 Cl 2.80
Sm 0.6435 0.6435 0.0013  1 Co 2.69, 4 Cl 2.80
Co 0.5000 0.5000 0.0000  6 Sm 2.69
Cl 0.1570 0.1570 0.2394  3 Sm 2.80-2.95
Cl 0.1570 0.1570 0.7635  3 Sm 2.80-2.95
Cl 0.5000 0.5000 0.5000  4 Sm 3.04
Cl 0.8430 0.8430 0.2365  3 Sm 2.80-2.95
Cl 0.8430 0.8430 0.7606  3 Sm 2.80-2.95

Version two
Computed, not measured: a relaxed Sm4CoCl5 crystal at the GGA-PBE level of DFT.

Cell lengths 9.4147, 9.4147, 8.3156 Å; angles 104.61, 104.61, 24.00 degrees
Last column: nearest neighbours and their distance in Å.
Element x y z (fractional)
Sm 0.0015 0.0015 0.2823  2 Co 2.67, 1 Cl 2.99
Sm 0.3484 0.3484 0.4017  1 Co 2.70, 4 Cl 2.79-2.87
Sm 0.6516 0.6516 0.5983  1 Co 2.70, 4 Cl 2.79-2.87
Sm 0.9985 0.9985 0.7177  2 Co 2.67, 1 Cl 2.99
Co 0.5000 0.5000 0.5000  6 Sm 2.67-2.70
Cl 0.1658 0.1658 0.8438  3 Sm 2.79-2.99
Cl 0.1739 0.1739 0.3637  4 Sm 2.87-3.15
Cl 0.5000 0.5000 0.0000  4 Sm 3.05
Cl 0.8261 0.8261 0.6363  4 Sm 2.87-3.15
Cl 0.8342 0.8342 0.1562  3 Sm 2.79-2.99

Which of them is the least stable? Correct choice: version one.

Version one
Computed, not measured: a relaxed Sm2CoCl crystal at the GGA-PBE level of DFT.

Cell lengths 7.8109, 7.8109, 7.8109 Å; angles 28.92, 28.92, 28.92 degrees
Last column: nearest neighbours and their distance in Å.
Element x y z (fractional)
Sm 0.2335 0.2335 0.2335  3 Co 2.71
Sm 0.7665 0.7665 0.7665  3 Co 2.71
Co 0.5000 0.5000 0.5000  6 Sm 2.71
Cl 0.0000 0.0000 0.0000  6 Sm 3.18

Version two
Computed, not measured: a relaxed Sm2CoCl crystal at the GGA-PBE level of DFT.

Cell lengths 7.9044, 7.9044, 7.9044 Å; angles 28.47, 28.47, 28.47 degrees
Last column: nearest neighbours and their distance in Å.
Element x y z (fractional)
Sm 0.0000 0.0000 0.0000  3 Co 2.70
Sm 0.2013 0.2013 0.2013  3 Co 2.70
Co 0.6005 0.6005 0.6005  6 Sm 2.70
Cl 0.4307 0.4307 0.4307  6 Sm 3.15-3.26

Version three
Computed, not measured: a relaxed Sm2CoCl crystal at the GGA-PBE level of DFT.

Cell lengths 3.3412, 3.3412, 7.9890 Å; angles 90.00, 90.00, 90.00 degrees
Last column: nearest neighbours and their distance in Å.
Element x y z (fractional)
Sm 0.0000 0.0000 0.2129  4 Co 2.91
Sm 0.0000 0.0000 0.7871  4 Co 2.91
Co 0.5000 0.5000 0.0000  8 Sm 2.91
Cl 0.5000 0.5000 0.5000  8 Sm 3.29, 4 Cl 3.34

Which of them is the least stable? Correct choice: version three.

Version one
Computed, not measured: a relaxed CoSn3Cl crystal at the GGA-PBE level of DFT.

Cell lengths 5.2952, 5.2952, 5.2952 Å; angles 90.00, 90.00, 90.00 degrees
Last column: nearest neighbours and their distance in Å.
Element x y z (fractional)
Co 0.0000 0.0000 0.0000  12 Sn 3.74
Sn 0.0000 0.5000 0.5000  2 Cl 2.65
Sn 0.5000 0.0000 0.5000  2 Cl 2.65
Sn 0.5000 0.5000 0.0000  2 Cl 2.65
Cl 0.5000 0.5000 0.5000  6 Sn 2.65

Version two
Computed, not measured: a relaxed CoSn3Cl crystal at the GGA-PBE level of DFT.

Cell lengths 4.9577, 4.9577, 4.9577 Å; angles 90.00, 90.00, 90.00 degrees
Last column: nearest neighbours and their distance in Å.
Element x y z (fractional)
Co 0.0000 0.0000 0.0000  6 Sn 2.48
Sn 0.0000 0.0000 0.5000  2 Co 2.48
Sn 0.0000 0.5000 0.0000  2 Co 2.48
Sn 0.5000 0.0000 0.0000  2 Co 2.48
Cl 0.5000 0.5000 0.5000  12 Sn 3.51

Which of them is the least stable? Correct choice: version one.

Version one
Computed, not measured: a relaxed CoSn2Cl crystal at the GGA-PBE level of DFT.

Cell lengths 4.9119, 4.9119, 4.9119 Å; angles 60.00, 60.00, 60.00 degrees
Last column: nearest neighbours and their distance in Å.
Element x y z (fractional)
Co 0.0000 0.0000 0.0000  8 Sn 3.01
Sn 0.2500 0.2500 0.2500  4 Cl 3.01, 4 Co 3.01
Sn 0.7500 0.7500 0.7500  4 Co 3.01, 4 Cl 3.01
Cl 0.5000 0.5000 0.5000  8 Sn 3.01

Version two
Computed, not measured: a relaxed CoSn2Cl crystal at the GGA-PBE level of DFT.

Cell lengths 7.3394, 7.3394, 7.3394 Å; angles 129.13, 129.13, 74.80 degrees
Last column: nearest neighbours and their distance in Å.
Element x y z (fractional)
Co 0.0000 0.0000 0.0000  4 Sn 2.40
Co 0.7500 0.2500 0.5000  4 Sn 2.40
Sn 0.0456 0.6250 0.9206  2 Co 2.40
Sn 0.3750 0.2956 0.4206  2 Co 2.40
Sn 0.7044 0.1250 0.0794  2 Co 2.40
Sn 0.8750 0.9544 0.5794  2 Co 2.40
Cl 0.2500 0.7500 0.5000  4 Sn 2.99
Cl 0.5000 0.5000 0.0000  4 Sn 2.99

Which of them is the least stable? Correct choice: version one.

Version one
Computed, not measured: a relaxed Sr2CoCl crystal at the GGA-PBE level of DFT.

Cell lengths 6.9782, 6.9782, 6.9782 Å; angles 113.67, 113.67, 101.37 degrees
Last column: nearest neighbours and their distance in Å.
Element x y z (fractional)
Sr 0.1133 0.6250 0.9883  2 Co 2.86, 2 Cl 2.98
Sr 0.3750 0.3633 0.4883  2 Co 2.86, 2 Cl 2.98
Sr 0.6367 0.1250 0.0117  2 Co 2.86, 2 Cl 2.98
Sr 0.8750 0.8867 0.5117  2 Co 2.86, 2 Cl 2.98
Co 0.0000 0.0000 0.0000  4 Sr 2.86
Co 0.7500 0.2500 0.5000  4 Sr 2.86
Cl 0.2500 0.7500 0.5000  4 Sr 2.98
Cl 0.5000 0.5000 0.0000  4 Sr 2.98

Version two
Computed, not measured: a relaxed Sr2CoCl crystal at the GGA-PBE level of DFT.

Cell lengths 5.9137, 5.9137, 5.9137 Å; angles 137.41, 107.43, 87.95 degrees
Last column: nearest neighbours and their distance in Å.
Element x y z (fractional)
Sr 0.2475 0.2475 0.0000  2 Cl 3.01, 2 Co 3.04
Sr 0.7525 0.7525 0.0000  2 Cl 3.01, 2 Co 3.04
Co 0.5000 0.0000 0.5000  4 Sr 3.04
Cl 0.0000 0.5000 0.5000  4 Sr 3.01

Which of them is the least stable? Correct choice: version two.

Version one
Computed, not measured: a relaxed Ta2CoCl crystal at the GGA-PBE level of DFT.

Cell lengths 6.8708, 6.8708, 6.8708 Å; angles 133.98, 133.98, 67.12 degrees
Last column: nearest neighbours and their distance in Å.
Element x y z (fractional)
Ta 0.0911 0.6250 0.9661  2 Co 2.28, 2 Cl 2.49
Ta 0.3750 0.3411 0.4661  2 Co 2.28, 2 Cl 2.49
Ta 0.6589 0.1250 0.0339  2 Co 2.28, 2 Cl 2.49
Ta 0.8750 0.9089 0.5339  2 Co 2.28, 2 Cl 2.49
Co 0.0000 0.0000 0.0000  4 Ta 2.28
Co 0.7500 0.2500 0.5000  4 Ta 2.28
Cl 0.2500 0.7500 0.5000  4 Ta 2.49
Cl 0.5000 0.5000 0.0000  4 Ta 2.49

Version two
Computed, not measured: a relaxed Ta2CoCl crystal at the GGA-PBE level of DFT.

Cell lengths 4.5882, 4.5882, 2.8400 Å; angles 90.53, 90.53, 90.05 degrees
Last column: nearest neighbours and their distance in Å.
Element x y z (fractional)
Ta 0.0000 0.5000 0.0000  4 Cl 2.69-2.71, 4 Co 2.69-2.71, 2 Ta 2.84
Ta 0.5000 0.0000 0.0000  4 Cl 2.69-2.71, 4 Co 2.69-2.71, 2 Ta 2.84
Co 0.0000 0.0000 0.5000  8 Ta 2.69-2.71, 2 Co 2.84
Cl 0.5000 0.5000 0.5000  8 Ta 2.69-2.71, 2 Cl 2.84

Version three
Computed, not measured: a relaxed Ta2CoCl crystal at the GGA-PBE level of DFT.

Cell lengths 3.6476, 3.6476, 6.7037 Å; angles 104.29, 104.29, 60.23 degrees
Last column: nearest neighbours and their distance in Å.
Element x y z (fractional)
Ta 0.2177 0.2177 0.1728  3 Co 2.38-2.39
Ta 0.7823 0.7823 0.8272  3 Co 2.38-2.39
Co 0.5000 0.5000 0.0000  6 Ta 2.38-2.39
Cl 0.0000 0.0000 0.5000  6 Ta 2.90-3.02

Which of them is the least stable? Correct choice: version one.

Version one
Computed, not measured: a relaxed TaCo3Cl crystal at the GGA-PBE level of DFT.

Cell lengths 4.0901, 4.0901, 4.0901 Å; angles 90.00, 90.00, 90.00 degrees
Last column: nearest neighbours and their distance in Å.
Element x y z (fractional)
Ta 0.0000 0.0000 0.0000  12 Co 2.89
Co 0.0000 0.5000 0.5000  2 Cl 2.05
Co 0.5000 0.0000 0.5000  2 Cl 2.05
Co 0.5000 0.5000 0.0000  2 Cl 2.05
Cl 0.5000 0.5000 0.5000  6 Co 2.05

Version two
Computed, not measured: a relaxed TaCo3Cl crystal at the GGA-PBE level of DFT.

Cell lengths 4.6113, 4.6113, 4.6113 Å; angles 90.00, 90.00, 90.00 degrees
Last column: nearest neighbours and their distance in Å.
Element x y z (fractional)
Ta 0.0000 0.0000 0.0000  6 Co 2.31
Co 0.0000 0.0000 0.5000  2 Ta 2.31
Co 0.0000 0.5000 0.0000  2 Ta 2.31
Co 0.5000 0.0000 0.0000  2 Ta 2.31
Cl 0.5000 0.5000 0.5000  12 Co 3.26

Which of them is the least stable? Correct choice: version two.